DFT (PBE-GGA) results for a relaxed structure of Na4AgPd3O8.

For the uncorrected formation energy, the calculation gives -1309 kJ/mol of formula units. The calculation puts the uncorrected energy at -4.808 eV/atom. The density of states at the Fermi level is 3.09 states/eV per cell. The symmetry is C2/m.

abc: 6.677 6.677 6.144
angles: 113.35 113.35 55.28
Positions (direct):
Na  0.000  0.000  0.000
Na  0.000  0.500  0.500
Na  0.500  0.000  0.500
Na  0.500  0.500  0.000
Ag  0.000  0.000  0.500
Pd  0.000  0.500  0.000
Pd  0.500  0.000  0.000
Pd  0.500  0.500  0.500
O  0.205  0.677  0.239
O  0.214  0.214  0.182
O  0.274  0.274  0.803
O  0.323  0.795  0.761
O  0.677  0.205  0.239
O  0.726  0.726  0.197
O  0.786  0.786  0.818
O  0.795  0.323  0.761